A plane-wave DFT calculation with GGA-PBE was carried out for a geometry-optimized Hf4In3W structure.

Computed properties:
Density (kg/m³): 12149
Total magnetic moment (μB per cell): 0.0
VASP energy (eV for the cell shown): -61.748

Cell: 3.335 3.335 15.266 Å, 90.00 90.00 90.00°
Positions (direct):
Hf: 0.000 0.000 0.101
Hf: 0.000 0.000 0.365
Hf: 0.000 0.000 0.635
Hf: 0.000 0.000 0.899
In: 0.500 0.500 0.236
In: 0.500 0.500 0.500
In: 0.500 0.500 0.764
W: 0.500 0.500 0.000